(a)
Computed, not measured: a crystal of TlCu2Cl relaxed with PBEsol at the meta-GGA SCAN level of DFT.

Geometry as CIF:
```
data_TlCu2Cl
_cell_length_a 6.704
_cell_length_b 6.704
_cell_length_c 6.704
_cell_angle_alpha 90.00
_cell_angle_beta 90.00
_cell_angle_gamma 90.00
_space_group_name_H-M_alt 'F -4 3 m'
_space_group_IT_number 216
_space_group_name_Hall 'F -4 2 3'
loop_
_atom_site_label
_atom_site_fract_x
_atom_site_fract_y
_atom_site_fract_z
Tl1 0.000 0.000 0.000
Cu1 0.000 0.000 0.500
Cu2 0.250 0.250 0.750
Cl1 0.250 0.250 0.250
```


(b)
Computed, not measured: a crystal of TlCu2Cl relaxed with PBEsol at the meta-GGA SCAN level of DFT.

Geometry as CIF:
```
data_TlCu2Cl
_cell_length_a 9.352
_cell_length_b 3.218
_cell_length_c 6.974
_cell_angle_alpha 90.00
_cell_angle_beta 127.95
_cell_angle_gamma 90.00
_space_group_name_H-M_alt 'C 1 2/m 1'
_space_group_IT_number 12
loop_
_space_group_symop_operation_xyz
'x,y,z'
'-x,-y,-z'
'-x,y,-z'
'x,-y,z'
'x+1/2,y+1/2,z'
'-x+1/2,-y+1/2,-z'
'-x+1/2,y+1/2,-z'
'x+1/2,-y+1/2,z'
loop_
_atom_site_label
_atom_site_fract_x
_atom_site_fract_y
_atom_site_fract_z
Tl1 0.000 0.000 0.000
Cu1 0.150 0.500 0.841
Cl1 0.000 0.000 0.500
```


(c)
Computed, not measured: a crystal of TlCu2Cl relaxed with PBEsol at the meta-GGA SCAN level of DFT.

Geometry as CIF:
```
data_TlCu2Cl
_cell_length_a 4.340
_cell_length_b 3.287
_cell_length_c 11.728
_cell_angle_alpha 90.00
_cell_angle_beta 90.00
_cell_angle_gamma 90.00
_space_group_name_H-M_alt 'A m m 2'
_space_group_IT_number 38
loop_
_space_group_symop_operation_xyz
'x,y,z'
'-x,-y,z'
'-x,y,z'
'x,-y,z'
'x,y+1/2,z+1/2'
'-x,-y+1/2,z+1/2'
'-x,y+1/2,z+1/2'
'x,-y+1/2,z+1/2'
loop_
_atom_site_label
_atom_site_fract_x
_atom_site_fract_y
_atom_site_fract_z
Tl1 0.000 0.000 0.000
Cu1 0.500 0.000 0.145
Cu2 0.500 0.000 0.493
Cl1 0.500 0.000 0.780
```


Stability summary - winner: (c); margin: 11 meV/atom.


(a)
Computed, not measured: a crystal of TlCuCl2 relaxed with PBEsol at the meta-GGA SCAN level of DFT.

Geometry as CIF:
```
data_TlCuCl2
_cell_length_a 3.472
_cell_length_b 3.472
_cell_length_c 7.696
_cell_angle_alpha 90.00
_cell_angle_beta 90.00
_cell_angle_gamma 90.00
_space_group_name_H-M_alt 'P 4 m m'
_space_group_IT_number 99
loop_
_space_group_symop_operation_xyz
'x,y,z'
'-y,x,z'
'-x,-y,z'
'y,-x,z'
'-x,y,z'
'y,x,z'
'x,-y,z'
'-y,-x,z'
loop_
_atom_site_label
_atom_site_fract_x
_atom_site_fract_y
_atom_site_fract_z
Tl1 0.000 0.000 0.000
Cu1 0.500 0.500 0.518
Cl1 0.000 0.000 0.583
Cl2 0.500 0.500 0.224
```


(b)
Computed, not measured: a crystal of TlCuCl2 relaxed with PBEsol at the meta-GGA SCAN level of DFT.

Geometry as CIF:
```
data_TlCuCl2
_cell_length_a 6.971
_cell_length_b 6.971
_cell_length_c 6.971
_cell_angle_alpha 90.00
_cell_angle_beta 90.00
_cell_angle_gamma 90.00
_space_group_name_H-M_alt 'F m -3 m'
_space_group_IT_number 225
_space_group_name_Hall '-F 4 2 3'
loop_
_atom_site_label
_atom_site_fract_x
_atom_site_fract_y
_atom_site_fract_z
Tl1 0.000 0.000 0.000
Cu1 0.000 0.000 0.500
Cl1 0.250 0.250 0.250
```


Stability summary - winner: (a); margin: 291 meV/atom.